{"formula": "Ca3Cd4In", "functional": "GGA-PBE", "state": "relaxed", "dft_energy_ev_per_atom": -1.8533, "formation_energy_ev_per_atom": -0.303, "lattice": [[5.103, 0.000, 0.000], [0.000, 8.176, 0.000], [0.000, 0.000, 10.205]], "species": ["Ca", "Cd", "In", "Cd", "Ca", "In", "Cd", "Ca", "Ca", "Ca", "Cd", "Cd", "Cd", "Cd", "Ca", "Cd"], "frac_coords": [[0.499, 0.500, 0.250], [0.500, 0.743, 0.500], [0.000, 0.500, 0.000], [0.999, 0.743, 0.250], [0.499, 0.000, 0.250], [0.000, 0.500, 0.500], [0.500, 0.743, 0.000], [0.501, 0.000, 0.750], [0.000, 0.000, 0.500], [0.501, 0.500, 0.750], [0.001, 0.257, 0.750], [0.500, 0.257, 0.000], [0.001, 0.743, 0.750], [0.500, 0.257, 0.500], [0.000, 0.000, 0.000], [0.999, 0.257, 0.250]]}

---

{"formula": "Ca11Cd4In9", "functional": "GGA-PBE", "state": "relaxed", "dft_energy_ev_per_atom": -2.5005, "formation_energy_ev_per_atom": -0.404, "lattice": [[3.913, 0.000, 0.000], [0.000, 12.633, -5.348], [0.000, 0.047, 13.719]], "species": ["Cd", "In", "Ca", "Ca", "Cd", "Cd", "Ca", "Ca", "Ca", "In", "In", "In", "Ca", "In", "Cd", "Ca", "In", "In", "In", "In", "Ca", "Ca", "Ca", "Ca"], "frac_coords": [[0.500, 0.744, 0.553], [0.500, 0.631, 0.157], [0.000, 0.937, 0.590], [0.000, 0.164, 0.836], [0.500, 0.553, 0.744], [0.500, 0.256, 0.447], [0.000, 0.590, 0.937], [0.000, 0.640, 0.360], [0.000, 0.063, 0.410], [0.500, 0.843, 0.369], [0.500, 0.157, 0.631], [0.500, 0.500, 0.500], [0.000, 0.410, 0.063], [0.500, 0.210, 0.059], [0.500, 0.447, 0.256], [0.000, 0.000, 0.000], [0.500, 0.941, 0.790], [0.500, 0.059, 0.210], [0.500, 0.790, 0.941], [0.500, 0.369, 0.843], [0.000, 0.273, 0.273], [0.000, 0.727, 0.727], [0.000, 0.836, 0.164], [0.000, 0.360, 0.640]]}

---

{"formula": "CaCd4In3", "functional": "GGA-PBE", "state": "relaxed", "dft_energy_ev_per_atom": -1.8318, "formation_energy_ev_per_atom": -0.097, "lattice": [[3.323, 0.000, -0.419], [0.048, 6.039, 0.378], [-0.377, 2.573, 10.386]], "species": ["In", "Ca", "In", "Cd", "Cd", "Cd", "Cd", "In"], "frac_coords": [[0.000, 0.500, 0.000], [0.500, 0.000, 0.000], [0.132, 0.626, 0.263], [0.263, 0.746, 0.527], [0.737, 0.254, 0.473], [0.129, 0.114, 0.258], [0.871, 0.886, 0.742], [0.868, 0.374, 0.737]]}

---

{"formula": "Ca5Cd6In", "functional": "GGA-PBE", "state": "relaxed", "dft_energy_ev_per_atom": -1.8361, "formation_energy_ev_per_atom": -0.316, "lattice": [[-2.463, -1.135, -4.546], [7.417, -5.601, 0.471], [-6.465, -0.359, 6.684]], "species": ["Cd", "Cd", "Ca", "Ca", "Ca", "In", "Ca", "Ca", "Cd", "Cd", "Cd", "Cd"], "frac_coords": [[0.746, 0.248, 0.248], [0.753, 0.590, 0.916], [0.500, 0.166, 0.834], [0.500, 0.834, 0.166], [0.000, 0.668, 0.332], [0.000, 0.000, 0.000], [0.000, 0.332, 0.668], [0.500, 0.500, 0.500], [0.247, 0.410, 0.084], [0.753, 0.916, 0.590], [0.254, 0.752, 0.752], [0.247, 0.084, 0.410]]}

---

{"formula": "CaCd6In2", "functional": "GGA-PBE", "state": "relaxed", "dft_energy_ev_per_atom": -1.5323, "formation_energy_ev_per_atom": -0.091, "lattice": [[-1.831, -3.284, -3.299], [-1.369, -5.534, 2.699], [-7.806, -0.283, 2.830]], "species": ["Cd", "Cd", "In", "In", "Cd", "Cd", "Ca", "Cd", "Cd"], "frac_coords": [[0.314, 0.370, 0.000], [0.821, 0.512, 0.659], [0.500, 0.847, 0.305], [0.500, 0.153, 0.695], [0.686, 0.630, 0.000], [0.179, 0.829, 0.659], [0.000, 0.000, 0.000], [0.179, 0.488, 0.341], [0.821, 0.171, 0.341]]}

---

{"formula": "CaCd4In15", "functional": "GGA-PBE", "state": "relaxed", "dft_energy_ev_per_atom": -2.3784, "formation_energy_ev_per_atom": -0.041, "lattice": [[-1.599, 3.454, -2.767], [-3.157, 1.172, 3.287], [15.589, 14.946, 9.647]], "species": ["Cd", "In", "In", "In", "Ca", "In", "In", "Cd", "In", "In", "Cd", "Cd", "In", "In", "In", "In", "In", "In", "In", "In"], "frac_coords": [[0.000, 0.000, 0.400], [0.500, 0.000, 0.500], [0.500, 0.500, 0.401], [0.500, 0.500, 0.799], [0.000, 0.000, 0.000], [0.500, 0.000, 0.701], [0.500, 0.000, 0.299], [0.000, 0.000, 0.600], [0.500, 0.500, 0.000], [0.500, 0.000, 0.102], [0.000, 0.000, 0.197], [0.000, 0.000, 0.803], [0.500, 0.500, 0.201], [0.000, 0.500, 0.102], [0.000, 0.500, 0.898], [0.500, 0.500, 0.599], [0.000, 0.500, 0.500], [0.000, 0.500, 0.701], [0.500, 0.000, 0.898], [0.000, 0.500, 0.299]]}

---

{"formula": "CaCd2In2", "functional": "GGA-PBE", "state": "relaxed", "dft_energy_ev_per_atom": -2.0583, "formation_energy_ev_per_atom": -0.197, "lattice": [[-5.627, -2.557, 0.326], [-1.111, -6.208, -1.894], [-1.417, -2.918, 7.425]], "species": ["In", "Ca", "In", "Cd", "In", "Cd", "In", "Ca", "Cd", "Cd"], "frac_coords": [[0.472, 0.263, 0.999], [0.894, 0.832, 0.205], [0.528, 0.737, 0.001], [0.702, 0.636, 0.604], [0.306, 0.852, 0.405], [0.102, 0.672, 0.775], [0.694, 0.148, 0.595], [0.106, 0.168, 0.795], [0.898, 0.328, 0.225], [0.298, 0.364, 0.396]]}

---

{"formula": "Ca2CdIn2", "functional": "GGA-PBE", "state": "relaxed", "dft_energy_ev_per_atom": -2.4711, "formation_energy_ev_per_atom": -0.392, "lattice": [[4.860, 0.000, 0.000], [2.430, 5.848, 0.046], [2.430, 0.954, 10.167]], "species": ["Cd", "Ca", "In", "In", "Ca", "Ca", "In", "Ca", "In", "Cd"], "frac_coords": [[0.221, 0.899, 0.659], [0.679, 0.741, 0.901], [0.970, 0.178, 0.882], [0.138, 0.299, 0.425], [0.482, 0.699, 0.337], [0.518, 0.301, 0.663], [0.862, 0.701, 0.575], [0.321, 0.259, 0.099], [0.030, 0.822, 0.118], [0.779, 0.101, 0.341]]}

---

Question: Number 7 is which compound?
Answer: CaCd2In2